[1]
VASP calculation (PBE) on a relaxed structure of Pr2DyTh.

Summary:
formation energy = 0.05 eV/atom
total energy = -5.3404 eV/atom

abc: 3.6375 3.6375 10.3191
angles: 90.00 90.00 90.00
Last column: nearest neighbours and their distance in Å.
Element x y z (fractional)
Pr 0.0000 0.0000 0.7561  4 Th 3.60, 4 Pr 3.64, 4 Dy 3.69
Pr 0.0000 0.0000 0.2439  4 Th 3.60, 4 Pr 3.64, 4 Dy 3.69
Th 0.5000 0.5000 0.0000  8 Pr 3.60, 4 Th 3.64
Dy 0.5000 0.5000 0.5000  4 Dy 3.64, 8 Pr 3.69

[2]
VASP calculation (PBE) on a relaxed structure of NaCa4Nd3Te8.

Summary:
ΔE_f (raw) = -1.50 eV/atom
total energy = -4.5507 eV/atom

abc: 9.0037 9.0420 9.0058
angles: 119.88 119.99 90.00
Last column: nearest neighbours and their distance in Å.
Element x y z (fractional)
Na 0.0000 0.5000 0.0000  6 Te 3.20-3.21
Ca 0.5000 0.0000 0.0000  6 Te 3.17-3.18
Ca 0.5000 0.0000 0.5000  6 Te 3.17-3.18
Ca 0.0000 0.0000 0.0000  6 Te 3.17-3.18
Ca 0.0000 0.0000 0.5000  6 Te 3.17-3.18
Nd 0.5000 0.5000 0.0000  6 Te 3.20-3.21
Nd 0.5000 0.5000 0.5000  6 Te 3.20-3.21
Nd 0.0000 0.5000 0.5000  6 Te 3.20-3.21
Te 0.2509 0.7521 0.0012  3 Ca 3.18, 2 Nd 3.20, 1 Na 3.20
Te 0.2518 0.7532 0.5036  3 Ca 3.17-3.18, 2 Nd 3.20, 1 Na 3.21
Te 0.2486 0.2462 0.4973  3 Ca 3.17, 3 Nd 3.21
Te 0.7503 0.7521 0.0012  3 Ca 3.18, 2 Nd 3.20, 1 Na 3.20
Te 0.2497 0.2479 0.9988  3 Ca 3.18, 2 Nd 3.20, 1 Na 3.20
Te 0.7514 0.7538 0.5027  3 Ca 3.17, 3 Nd 3.21
Te 0.7482 0.2468 0.4964  3 Ca 3.17-3.18, 2 Nd 3.20, 1 Na 3.21
Te 0.7491 0.2479 0.9988  3 Ca 3.18, 2 Nd 3.20, 1 Na 3.20

[3]
VASP calculation (PBE) on a relaxed structure of Pm2TmLu.

Summary:
formation energy = 0.03 eV/atom
total energy = -4.5984 eV/atom

abc: 3.5825 3.5825 9.9541
angles: 90.00 90.00 90.00
Last column: nearest neighbours and their distance in Å.
Element x y z (fractional)
Lu 0.5000 0.5000 0.0000  8 Pm 3.54, 4 Lu 3.58
Tm 0.5000 0.5000 0.5000  8 Pm 3.56, 4 Tm 3.58
Pm 0.0000 0.0000 0.7510  4 Lu 3.54, 4 Tm 3.56, 4 Pm 3.58
Pm 0.0000 0.0000 0.2490  4 Lu 3.54, 4 Tm 3.56, 4 Pm 3.58

[4]
VASP calculation (PBE) on a relaxed structure of Y2TcRu.

Summary:
formation energy = 0.26 eV/atom
total energy = -7.8821 eV/atom

abc: 8.6651 8.6651 8.6651
angles: 22.45 22.45 22.45
Last column: nearest neighbours and their distance in Å.
Element x y z (fractional)
Ru 0.2500 0.2500 0.2500  6 Y 2.86
Tc 0.7500 0.7500 0.7500  6 Y 2.89
Y 0.9993 0.9993 0.9993  3 Ru 2.86, 3 Tc 2.89
Y 0.5007 0.5007 0.5007  3 Ru 2.86, 3 Tc 2.89

[5]
VASP calculation (PBE) on a relaxed structure of DyTmSiAg.

Summary:
ΔE_f (raw) = -0.44 eV/atom
total energy = -4.7741 eV/atom

abc: 5.0130 5.0130 5.0130
angles: 60.00 60.00 60.00
Last column: nearest neighbours and their distance in Å.
Element x y z (fractional)
Si 0.7500 0.7500 0.7500  4 Tm 3.07, 4 Dy 3.07
Tm 0.5000 0.5000 0.5000  4 Ag 3.07, 4 Si 3.07
Ag 0.2500 0.2500 0.2500  4 Dy 3.07, 4 Tm 3.07
Dy 0.0000 0.0000 0.0000  4 Si 3.07, 4 Ag 3.07

[6]
VASP calculation (PBE) on a relaxed structure of La8Sm3Y3.

Summary:
formation energy = 0.09 eV/atom
total energy = -5.1208 eV/atom

abc: 5.7716 9.9274 9.9274
angles: 101.81 73.10 73.10
Last column: nearest neighbours and their distance in Å.
Element x y z (fractional)
La 0.6581 0.1137 0.5701  6 La 3.24-3.60
La 0.3419 0.8863 0.4299  6 La 3.24-3.60
La 0.6581 0.5701 0.1137  6 La 3.24-3.60
La 0.3419 0.4299 0.8863  6 La 3.24-3.60
La 0.8377 0.7683 0.5564  5 La 3.24-3.61
La 0.1623 0.2317 0.4436  5 La 3.24-3.61
La 0.8377 0.5564 0.7683  5 La 3.24-3.61
La 0.1623 0.4436 0.2317  5 La 3.24-3.61
Sm 0.5000 0.0000 0.0000  4 Y 3.63, 4 Sm 3.98
Sm 0.0000 0.8220 0.1780  2 Y 3.51, 8 La 3.67-3.88
Sm 0.0000 0.1780 0.8220  2 Y 3.51, 8 La 3.67-3.88
Y 0.5000 0.5000 0.5000  2 Y 3.36
Y 0.8025 0.1975 0.1975  1 Y 3.36, 4 Sm 3.51-3.63, 4 La 3.66
Y 0.1975 0.8025 0.8025  1 Y 3.36, 4 Sm 3.51-3.63, 4 La 3.66

[7]
VASP calculation (PBE) on a relaxed structure of KLa3Te.

Summary:
ΔE_f (raw) = -0.15 eV/atom
total energy = -3.9499 eV/atom

abc: 6.1689 6.1689 6.1689
angles: 90.00 90.00 90.00
Last column: nearest neighbours and their distance in Å.
Element x y z (fractional)
K 0.5000 0.5000 0.5000  12 La 4.36
Te 0.0000 0.0000 0.0000  6 La 3.08
La 0.0000 0.5000 0.0000  2 Te 3.08
La 0.0000 0.0000 0.5000  2 Te 3.08
La 0.5000 0.0000 0.0000  2 Te 3.08

[8]
VASP calculation (PBE) on a relaxed structure of CaSc2Rh.

Summary:
formation energy = -0.39 eV/atom
total energy = -5.8970 eV/atom

abc: 3.3244 3.3046 9.4428
angles: 69.59 90.00 90.00
Last column: nearest neighbours and their distance in Å.
Element x y z (fractional)
Sc 0.0000 0.0787 0.9221  4 Rh 2.79-2.80, 1 Sc 3.05
Sc 0.0000 0.4213 0.5779  4 Rh 2.79-2.80, 1 Sc 3.05
Ca 0.5000 0.2500 0.2500  4 Ca 3.30-3.32
Rh 0.5000 0.7500 0.7500  8 Sc 2.79-2.80

Question: Number 4 is which compound?
Answer: Y2TcRu